(1)
A plane-wave DFT calculation with PBE was carried out for a geometry-optimized CsGe3Te structure. Values from VASP.

formation energy from raw total energies = 0.557 eV per atom
space group = Pm-3m, No. 221
calculated volume = 36.6 A^3/atom

Geometry as Quantum ESPRESSO input:
```
&SYSTEM
  ibrav = 0, nat = 5, ntyp = 3
/
ATOMIC_SPECIES
Cs 132.91 Cs.upf
Ge 72.64 Ge.upf
Te 127.60 Te.upf
CELL_PARAMETERS angstrom
5.677 0.000 0.000
0.000 5.677 0.000
0.000 0.000 5.677
ATOMIC_POSITIONS crystal
Cs 0.000 0.000 0.000
Ge 0.000 0.500 0.500
Ge 0.500 0.000 0.500
Ge 0.500 0.500 0.000
Te 0.500 0.500 0.500
```

***

(2)
A plane-wave DFT calculation with PBE was carried out for a geometry-optimized Na2Hg4Pd5 structure. Values from VASP.

energy of formation from the pure elements = -1.51 eV per formula unit
space group = Fmmm, No. 69
calculated volume = 22.4 A^3/atom

Geometry as Quantum ESPRESSO input:
```
&SYSTEM
  ibrav = 0, nat = 11, ntyp = 3
/
ATOMIC_SPECIES
Na 22.99 Na.upf
Hg 200.59 Hg.upf
Pd 106.42 Pd.upf
CELL_PARAMETERS angstrom
0.000 4.833 8.912
2.854 0.000 8.912
2.854 4.833 0.000
ATOMIC_POSITIONS crystal
Na 0.102 0.102 0.898
Na 0.898 0.898 0.102
Hg 0.208 0.534 0.466
Hg 0.466 0.792 0.208
Hg 0.534 0.208 0.792
Hg 0.792 0.466 0.534
Pd 0.000 0.000 0.500
Pd 0.250 0.250 0.250
Pd 0.500 0.500 0.000
Pd 0.500 0.500 0.500
Pd 0.750 0.750 0.750
```

***

(3)
A plane-wave DFT calculation with PBE was carried out for a geometry-optimized Li5Sn2Hg2 structure. Values from VASP.

energy of formation from the pure elements = -2.25 eV per formula unit
space group = Cmce, No. 64
calculated volume = 20.5 A^3/atom

Geometry as Quantum ESPRESSO input:
```
&SYSTEM
  ibrav = 0, nat = 18, ntyp = 3
/
ATOMIC_SPECIES
Li 6.94 Li.upf
Sn 118.71 Sn.upf
Hg 200.59 Hg.upf
CELL_PARAMETERS angstrom
6.992 -3.735 0.000
6.992 3.735 0.000
0.000 0.000 7.080
ATOMIC_POSITIONS crystal
Li 0.000 0.000 0.000
Li 0.048 0.684 0.681
Li 0.184 0.548 0.181
Li 0.316 0.952 0.681
Li 0.452 0.816 0.181
Li 0.500 0.500 0.500
Li 0.548 0.184 0.819
Li 0.684 0.048 0.319
Li 0.816 0.452 0.819
Li 0.952 0.316 0.319
Sn 0.220 0.220 0.000
Sn 0.280 0.280 0.500
Sn 0.720 0.720 0.500
Sn 0.780 0.780 0.000
Hg 0.143 0.857 0.366
Hg 0.357 0.643 0.866
Hg 0.643 0.357 0.134
Hg 0.857 0.143 0.634
```